First-principles (PBE) data for a relaxed structure of CdHgSeO, as listed in the Open Quantum Materials Database.

a = 5.1375 Å, b = 5.1375 Å, c = 6.9743 Å
α = 90.00°, β = 90.00°, γ = 90.00°
Closest atoms and distances in Å follow each position.
Space group P4/nmm (No. 129, origin choice 2)
Inequivalent atoms, fractional coordinates:
Cd  0.2500  0.2500  0.1843 x2  1 O 2.02
Hg  0.2500  0.2500  0.7611 x2  1 O 2.01
Se  0.2500  0.7500  0.0000 x2  4 Cd 2.87, 4 Hg 3.06
O  0.2500  0.2500  0.4734 x2  1 Hg 2.01, 1 Cd 2.02

Computed properties:
VASP energy   -0.0883 Ha/atom